Entry 1:
{"formula": "MnInCoRu", "functional": "PBE", "state": "optimized geometry", "lattice_angstrom": [[0.0000, 3.0629, 3.0629], [3.0629, 0.0000, 3.0629], [3.0629, 3.0629, 0.0000]], "species": ["Mn", "In", "Co", "Ru"], "fractional_positions": [[0.0000, 0.0000, 0.0000], [0.5000, 0.5000, 0.5000], [0.7500, 0.7500, 0.7500], [0.2500, 0.2500, 0.2500]], "delta_e_f_mev_per_atom": 130, "magmom_total_mub_per_atom": 0.80, "final_energy_ev_per_atom": -6.942}

Entry 2:
{"formula": "Tl2ZnCu2Br6", "functional": "PBE", "state": "optimized geometry", "lattice_angstrom": [[6.8576, -3.6985, 0.0000], [6.8576, 3.6985, 0.0000], [-4.3835, 0.0000, 6.5115]], "species": ["Tl", "Tl", "Zn", "Cu", "Cu", "Br", "Br", "Br", "Br", "Br", "Br"], "fractional_positions": [[0.2445, 0.2445, 0.2263], [0.7555, 0.7555, 0.7737], [0.0000, 0.0000, 0.5000], [0.4285, 0.4285, 0.7193], [0.5715, 0.5715, 0.2807], [0.1934, 0.7119, 0.2220], [0.2433, 0.2433, 0.6678], [0.2881, 0.8066, 0.7780], [0.7119, 0.1934, 0.2220], [0.7567, 0.7567, 0.3322], [0.8066, 0.2881, 0.7780]], "magmom_total_mub_per_atom": 0.00, "final_energy_ev_per_atom": -2.780}

Entry 3:
{"formula": "Sn2AsPd2", "functional": "PBE", "state": "optimized geometry", "lattice_angstrom": [[7.8147, 0.0000, 0.0000], [0.0000, 7.8147, 0.0000], [0.0000, 0.0000, 3.2550]], "species": ["Sn", "Sn", "Sn", "Sn", "As", "As", "Pd", "Pd", "Pd", "Pd"], "fractional_positions": [[0.1628, 0.3372, 0.0000], [0.3372, 0.8372, 0.0000], [0.6628, 0.1628, 0.0000], [0.8372, 0.6628, 0.0000], [0.0000, 0.0000, 0.5000], [0.5000, 0.5000, 0.5000], [0.1341, 0.6341, 0.5000], [0.3659, 0.1341, 0.5000], [0.6341, 0.8659, 0.5000], [0.8659, 0.3659, 0.5000]], "polymorph_energy_kcal_per_mol_atoms": 0.00, "delta_e_f_mev_per_atom": -211, "magmom_total_mub_per_atom": 0.00, "final_energy_ev_per_atom": -4.819}

Entry 4:
{"formula": "ScVS2Cl", "functional": "PBE", "state": "optimized geometry", "lattice_angstrom": [[4.7028, 0.0000, 0.0000], [0.0000, 4.7028, 0.0000], [0.0000, 0.0000, 4.5829]], "species": ["Sc", "V", "S", "S", "Cl"], "fractional_positions": [[0.0000, 0.0000, 0.0000], [0.5000, 0.5000, 0.5000], [0.0000, 0.5000, 0.5000], [0.5000, 0.0000, 0.5000], [0.5000, 0.5000, 0.0000]], "polymorph_energy_kcal_per_mol_atoms": 0.00, "magmom_total_mub_per_atom": 0.59, "final_energy_ev_per_atom": -5.791}

Entry 5:
{"formula": "NaFe2Co2", "functional": "PBE", "state": "optimized geometry", "lattice_angstrom": [[-1.8605, 1.8605, 4.8239], [1.8605, -1.8605, 4.8239], [1.8605, 1.8605, -4.8239]], "species": ["Na", "Fe", "Fe", "Co", "Co"], "fractional_positions": [[0.0000, 0.0000, 0.0000], [0.2500, 0.7500, 0.5000], [0.7500, 0.2500, 0.5000], [0.3865, 0.3865, 0.0000], [0.6135, 0.6135, 0.0000]], "polymorph_energy_kcal_per_mol_atoms": 10.03, "delta_e_f_mev_per_atom": 731, "magmom_total_mub_per_atom": 0.00, "final_energy_ev_per_atom": -5.760}

Entry 6:
{"formula": "ErPbIO6", "functional": "PBE", "state": "optimized geometry", "lattice_angstrom": [[5.6455, 0.0000, 0.0000], [-2.8228, 4.8892, 0.0000], [0.0000, 0.0000, 10.3393]], "species": ["Er", "Er", "Pb", "Pb", "I", "I", "O", "O", "O", "O", "O", "O", "O", "O", "O", "O", "O", "O"], "fractional_positions": [[0.3333, 0.6667, 0.2500], [0.6667, 0.3333, 0.7500], [0.0000, 0.0000, 0.0000], [0.0000, 0.0000, 0.5000], [0.3333, 0.6667, 0.7500], [0.6667, 0.3333, 0.2500], [0.0450, 0.3970, 0.6452], [0.0450, 0.6480, 0.8548], [0.3520, 0.3970, 0.8548], [0.3520, 0.9550, 0.6452], [0.3970, 0.0450, 0.1452], [0.3970, 0.3520, 0.3548], [0.6030, 0.6480, 0.6452], [0.6030, 0.9550, 0.8548], [0.6480, 0.0450, 0.3548], [0.6480, 0.6030, 0.1452], [0.9550, 0.3520, 0.1452], [0.9550, 0.6030, 0.3548]], "magmom_total_mub_per_atom": 0.00, "final_energy_ev_per_atom": -5.851}

Entry 7:
{"formula": "La2PrY6Er3", "functional": "PBE", "state": "optimized geometry", "lattice_angstrom": [[3.1198, -5.4023, 0.0000], [3.1198, 5.4023, 0.0000], [-2.0781, 0.0000, 11.7061]], "species": ["La", "La", "Pr", "Y", "Y", "Y", "Y", "Y", "Y", "Er", "Er", "Er"], "fractional_positions": [[0.1667, 0.8333, 0.0000], [0.8333, 0.1667, 0.0000], [0.5000, 0.5000, 0.0000], [0.0810, 0.4140, 0.7436], [0.2531, 0.2531, 0.2563], [0.4140, 0.0810, 0.7436], [0.5860, 0.9190, 0.2564], [0.7469, 0.7469, 0.7437], [0.9190, 0.5860, 0.2564], [0.0000, 0.0000, 0.5000], [0.3335, 0.6665, 0.5000], [0.6665, 0.3335, 0.5000]], "delta_e_f_mev_per_atom": 24, "magmom_total_mub_per_atom": 0.00, "final_energy_ev_per_atom": -5.568}

Entry 8:
{"formula": "KSiPb2", "functional": "PBE", "state": "optimized geometry", "lattice_angstrom": [[1.9850, 1.1461, 9.6543], [-1.9850, 1.1461, 9.6543], [0.0000, -2.2921, 9.6543]], "species": ["K", "Si", "Pb", "Pb"], "fractional_positions": [[0.0000, 0.0000, 0.0000], [0.7512, 0.7512, 0.7512], [0.2244, 0.2244, 0.2244], [0.4707, 0.4707, 0.4707]], "magmom_total_mub_per_atom": 0.00, "final_energy_ev_per_atom": -3.205}